A plane-wave DFT calculation with PBEsol was carried out for a relaxed Rb2NaPrI6 crystal.

Structure (extended XYZ):
```
10
Lattice="0.000 6.124 6.124 6.124 0.000 6.124 6.124 6.124 0.000" Properties=species:S:1:pos:R:3 pbc="T T T"
Rb 3.062 3.062 3.062
Rb 9.187 9.187 9.187
Na 0.000 0.000 0.000
Pr 6.124 6.124 6.124
I 6.124 6.124 3.052
I 6.124 3.052 6.124
I 9.197 6.124 6.124
I 3.052 6.124 6.124
I 6.124 9.197 6.124
I 6.124 6.124 9.197
```

Values from the calculation:
Formation energy without anion corrections = -1.36 eV/atom
SG = Fm-3m
Total moment = 0.00 μB/cell
DOS(E_F) = 0.0 states/eV/f.u.
DFT total energy = -3.28 eV per atom

=====

A plane-wave DFT calculation with PBEsol was carried out for a relaxed Be2SiPb crystal.

Structure (extended XYZ):
```
4
Lattice="2.911 -3.553 0.000 2.911 3.553 0.000 0.000 0.000 3.074" Properties=species:S:1:pos:R:3 pbc="T T T"
Be 1.455 1.777 0.000
Be 1.455 -1.777 0.000
Si 0.000 0.000 1.537
Pb 2.911 0.000 1.537
```

Values from the calculation:
Formation energy without anion corrections = 0.82 eV/atom
E above lowest polymorph = 259.9 meV/atom
SG = Cmmm
Total moment = 0.00 μB/cell
DOS(E_F) = 2.0 states/eV/f.u.
DFT total energy = -3.61 eV per atom

=====

A plane-wave DFT calculation with PBEsol was carried out for a relaxed ZrAuBr crystal.

Structure (extended XYZ):
```
3
Lattice="3.330 0.000 0.000 -1.665 2.884 0.000 0.000 0.000 6.948" Properties=species:S:1:pos:R:3 pbc="T T T"
Zr 0.000 0.000 0.000
Au 1.665 0.961 4.891
Br 0.000 1.923 1.936
```

Values from the calculation:
Formation energy without anion corrections = -0.58 eV/atom
SG = P3m1
Total moment = 0.00 μB/cell
DOS(E_F) = 0.8 states/eV/f.u.
DFT total energy = -5.54 eV per atom

=====

A plane-wave DFT calculation with PBEsol was carried out for a relaxed ScIn3Co crystal.

Structure (extended XYZ):
```
5
Lattice="4.783 0.000 0.000 0.000 4.783 0.000 0.000 0.000 4.783" Properties=species:S:1:pos:R:3 pbc="T T T"
Sc 0.000 0.000 0.000
In 0.000 2.392 2.392
In 2.392 0.000 2.392
In 2.392 2.392 0.000
Co 2.392 2.392 2.392
```

Values from the calculation:
SG = Pm-3m
ΔE_f = 0.0481 eV/atom
Total moment = 0.00 μB/cell
DOS(E_F) = 3.7 states/eV/f.u.
DFT total energy = -4.61 eV per atom

=====

A plane-wave DFT calculation with PBEsol was carried out for a relaxed ZrReRh2 crystal.

Structure (extended XYZ):
```
4
Lattice="2.805 0.000 0.000 0.000 4.466 0.000 0.000 0.000 4.841" Properties=species:S:1:pos:R:3 pbc="T T T"
Zr 0.000 0.000 0.000
Re 0.000 2.233 1.817
Rh 1.403 0.000 2.425
Rh 1.403 2.233 4.175
```

Values from the calculation:
E above lowest polymorph = 0.0 meV/atom
SG = Pmm2
ΔE_f = -0.3324 eV/atom
Total moment = 0.00 μB/cell
DOS(E_F) = 4.1 states/eV/f.u.
DFT total energy = -10.01 eV per atom

=====

A plane-wave DFT calculation with PBEsol was carried out for a relaxed Hg2Sb3 crystal.

Structure (extended XYZ):
```
5
Lattice="2.090 1.206 8.840 -2.090 1.206 8.840 0.000 -2.413 8.840" Properties=species:S:1:pos:R:3 pbc="T T T"
Hg 0.000 0.000 2.738
Hg 0.000 0.000 23.781
Sb 0.000 0.000 7.971
Sb 0.000 0.000 13.259
Sb 0.000 0.000 18.548
```

Values from the calculation:
Formation energy without anion corrections = 0.06 eV/atom
SG = R-3m
Total moment = 0.00 μB/cell
DOS(E_F) = 2.1 states/eV/f.u.
DFT total energy = -2.90 eV per atom

=====

A plane-wave DFT calculation with PBEsol was carried out for a relaxed Y5As crystal.

Structure (extended XYZ):
```
6
Lattice="6.124 0.000 0.000 -3.062 5.303 0.000 0.000 0.000 5.804" Properties=species:S:1:pos:R:3 pbc="T T T"
Y -1.531 2.652 0.000
Y 0.000 3.535 2.902
Y 3.062 0.000 0.000
Y 1.531 2.652 0.000
Y 3.062 1.768 2.902
As 0.000 0.000 2.902
```

Values from the calculation:
SG = P6/mmm
ΔE_f = 0.5737 eV/atom
Total moment = 0.10 μB/cell
DOS(E_F) = 11.2 states/eV/f.u.
DFT total energy = -5.96 eV per atom

=====

A plane-wave DFT calculation with PBEsol was carried out for a relaxed ZnSiSb2 crystal.

Structure (extended XYZ):
```
4
Lattice="1.708 0.986 8.970 -1.708 0.986 8.970 0.000 -1.972 8.970" Properties=species:S:1:pos:R:3 pbc="T T T"
Zn 0.000 0.000 0.000
Si 0.000 0.000 7.314
Sb 0.000 0.000 14.428
Sb 0.000 0.000 19.960
```

Values from the calculation:
Formation energy without anion corrections = 0.28 eV/atom
SG = R3m
Total moment = 0.00 μB/cell
DOS(E_F) = 2.1 states/eV/f.u.
DFT total energy = -3.84 eV per atom

=====

Number 1: density 3962 kg/m³. Number 2: density 6616 kg/m³. Number 3: density 9158 kg/m³. Number 4: density 6802 kg/m³. Number 5: density 13229 kg/m³. Number 6: density 9519 kg/m³. Number 7: density 4576 kg/m³. Number 8: density 6172 kg/m³.